Compound: LiMoAu2
Source: Alexandria via LeMat-Bulk
Functional: SCAN
Structure: PBEsol geometry

abc: 4.4231 4.4231 4.4231
angles: 60.00 60.00 60.00
With the nearest neighbours (Å) after each atom.
Fractional positions:
Mo (0.2500, 0.2500, 0.2500)  4 Li 2.71, 4 Au 2.71
Li (0.5000, 0.5000, 0.5000)  4 Au 2.71, 4 Mo 2.71
Au (0.7500, 0.7500, 0.7500)  4 Li 2.71, 4 Au 2.71
Au (0.0000, 0.0000, 0.0000)  4 Mo 2.71, 4 Au 2.71

Results
Mass density: 13.48 g/cm3
Symmetry: F-43m, No. 216
Energy of formation from the pure elements: 0.206 eV per atom